# Ba4Ta10FeO30

A relaxed Ba4Ta10FeO30 crystal (PBE with a Hubbard U, Alexandria).

Properties
The crystal system is orthorhombic.

a b c (Å): 7.891 10.337 15.314
angles (deg): 90.00 90.00 90.00
Space group Imm2 (No. 44)
Inequivalent atoms, fractional coordinates:
Ba1 0.000 0.000 0.000 (multiplicity 2)
Ba2 0.000 0.000 0.404 (multiplicity 2)
Ba3 0.000 0.500 0.508 (multiplicity 2)
Ba4 0.000 0.500 0.918 (multiplicity 2)
Ta1 0.248 0.186 0.581 (multiplicity 8)
Ta2 0.249 0.000 0.209 (multiplicity 4)
Ta3 0.250 0.184 0.833 (multiplicity 8)
Fe1 0.000 0.500 0.187 (multiplicity 2)
O1 0.000 0.000 0.225 (multiplicity 2)
O2 0.000 0.168 0.838 (multiplicity 4)
O3 0.000 0.201 0.587 (multiplicity 4)
O4 0.000 0.306 0.355 (multiplicity 4)
O5 0.000 0.357 0.079 (multiplicity 4)
O6 0.000 0.500 0.694 (multiplicity 2)
O7 0.216 0.364 0.212 (multiplicity 8)
O8 0.219 0.000 0.542 (multiplicity 4)
O9 0.226 0.131 0.116 (multiplicity 8)
O10 0.234 0.253 0.962 (multiplicity 8)
O11 0.234 0.370 0.805 (multiplicity 8)
O12 0.239 0.500 0.381 (multiplicity 4)

# BaTa2FeO

A relaxed BaTa2FeO crystal (PBE with a Hubbard U, Alexandria).

Properties
The crystal system is tetragonal.

a b c (Å): 5.279 5.279 4.183
angles (deg): 90.00 90.00 90.00
Space group P4/mmm (No. 123)
Inequivalent atoms, fractional coordinates:
Ba1 0.000 0.000 0.000 (multiplicity 1)
Ta1 0.000 0.500 0.000 (multiplicity 2)
Fe1 0.500 0.500 0.500 (multiplicity 1)
O1 0.000 0.000 0.500 (multiplicity 1)

# BaTbFe4O7

A relaxed BaTbFe4O7 crystal (PBE with a Hubbard U, Alexandria).

Properties
The crystal system is hexagonal.

a b c (Å): 6.3803 6.3803 10.8039
angles (deg): 90.00 90.00 120.00
Space group P6_3mc (No. 186)
Inequivalent atoms, fractional coordinates:
Ba1 0.3333 0.6667 0.0000 (multiplicity 2)
Tb1 0.3333 0.6667 0.4080 (multiplicity 2)
Fe1 0.0000 0.0000 0.4537 (multiplicity 2)
Fe2 0.1869 0.3738 0.7069 (multiplicity 6)
O1 0.0000 0.0000 0.2733 (multiplicity 2)
O2 0.0163 0.5081 0.8032 (multiplicity 6)
O3 0.1578 0.3156 0.5261 (multiplicity 6)

# Ba3TbFe2O6

A relaxed Ba3TbFe2O6 crystal (PBE with a Hubbard U, Alexandria).

Properties
The crystal system is trigonal.

a b c (Å): 6.2290 6.2290 7.1175
angles (deg): 90.00 90.00 120.00
Space group P-3m1 (No. 164)
Inequivalent atoms, fractional coordinates:
Ba1 0.0000 0.0000 0.0000 (multiplicity 1)
Ba2 0.3333 0.6667 0.6481 (multiplicity 2)
Tb1 0.0000 0.0000 0.5000 (multiplicity 1)
Fe1 0.3333 0.6667 0.2107 (multiplicity 2)
O1 0.1663 0.3327 0.3056 (multiplicity 6)

# BaTbFe2O5

A relaxed BaTbFe2O5 crystal (PBE with a Hubbard U, Alexandria).

Properties
The crystal system is tetragonal.

a b c (Å): 3.984 3.984 7.616
angles (deg): 90.00 90.00 90.00
Space group P4/mmm (No. 123)
Inequivalent atoms, fractional coordinates:
Ba1 0.000 0.000 0.000 (multiplicity 1)
Tb1 0.000 0.000 0.500 (multiplicity 1)
Fe1 0.500 0.500 0.268 (multiplicity 2)
O1 0.000 0.500 0.313 (multiplicity 4)
O2 0.500 0.500 0.000 (multiplicity 1)

# Ba2TbFe2O6

A relaxed Ba2TbFe2O6 crystal (PBE with a Hubbard U, Alexandria).

Properties
The crystal system is trigonal.

a b c (Å): 6.1636 6.1636 17.4602
angles (deg): 90.00 90.00 120.00
Space group R-3m (No. 166, hexagonal axes)
Inequivalent atoms, fractional coordinates:
Ba1 0.0000 0.0000 0.2111 (multiplicity 6)
Tb1 0.0000 0.0000 0.0000 (multiplicity 3)
Fe1 0.0000 0.0000 0.4269 (multiplicity 6)
O1 0.0124 0.5062 0.7529 (multiplicity 18)

# Ba3TbFe2O9

A relaxed Ba3TbFe2O9 crystal (PBE with a Hubbard U, Alexandria).

Properties
The crystal system is trigonal.

a b c (Å): 5.8593 5.8593 7.1911
angles (deg): 90.00 90.00 120.00
Space group P-3m1 (No. 164)
Inequivalent atoms, fractional coordinates:
Ba1 0.0000 0.0000 0.0000 (multiplicity 1)
Ba2 0.3333 0.6667 0.6788 (multiplicity 2)
Tb1 0.0000 0.0000 0.5000 (multiplicity 1)
Fe1 0.3333 0.6667 0.1634 (multiplicity 2)
O1 0.0000 0.5000 0.0000 (multiplicity 3)
O2 0.1769 0.3538 0.3159 (multiplicity 6)

# Ba3TbFe2O8

A relaxed Ba3TbFe2O8 crystal (PBE with a Hubbard U, Alexandria).

Properties
The crystal system is trigonal.

a b c (Å): 6.0448 6.0448 7.6396
angles (deg): 90.00 90.00 120.00
Space group P-3m1 (No. 164)
Inequivalent atoms, fractional coordinates:
Ba1 0.0000 0.0000 0.0000 (multiplicity 1)
Ba2 0.3333 0.6667 0.6560 (multiplicity 2)
Tb1 0.0000 0.0000 0.5000 (multiplicity 1)
Fe1 0.3333 0.6667 0.2139 (multiplicity 2)
O1 0.1697 0.3394 0.3183 (multiplicity 6)
O2 0.3333 0.6667 0.9782 (multiplicity 2)

# Ba2TbFeO5

A relaxed Ba2TbFeO5 crystal (PBE with a Hubbard U, Alexandria).

Properties
The crystal system is orthorhombic.

a b c (Å): 3.585 15.085 11.541
angles (deg): 90.00 90.00 90.00
Space group Cmc2_1 (No. 36)
Inequivalent atoms, fractional coordinates:
Ba1 0.000 0.105 0.000 (multiplicity 4)
Ba2 0.000 0.139 0.656 (multiplicity 4)
Tb1 0.000 0.204 0.362 (multiplicity 4)
Fe1 0.000 0.452 0.762 (multiplicity 4)
O1 0.000 0.039 0.334 (multiplicity 4)
O2 0.000 0.289 0.985 (multiplicity 4)
O3 0.000 0.326 0.730 (multiplicity 4)
O4 0.000 0.346 0.334 (multiplicity 4)
O5 0.000 0.496 0.117 (multiplicity 4)

| no. | E_tot (eV per atom) |
| --- | --- |
| 1 | -9.14 |
| 2 | -3.76 |
| 3 | -6.81 |
| 4 | -6.50 |
| 5 | -7.02 |
| 6 | -6.80 |
| 7 | -6.57 |
| 8 | -6.68 |
| 9 | -6.86 |